ErCoH8C6N6O4 | PBE+U | relaxed

Results
The calculated total energy comes out at -349.4 eV for the cell shown. Its symmetry is Cmcm.

Unit cell a=7.1493 b=7.1493 c=13.2800 alpha=90.00 beta=90.00 gamma=119.45
Last column: nearest neighbours and their distance in Å.
Fractional coordinates of all 52 atoms:
C (0.8631, 0.1369, 0.0563)  1 N 1.17
C (0.2263, 0.1408, 0.0889)  1 N 1.17
C (0.8592, 0.7737, 0.0889)  1 N 1.17
C (0.2263, 0.1408, 0.4111)  1 N 1.17
C (0.8592, 0.7737, 0.4111)  1 N 1.17
C (0.8631, 0.1369, 0.4437)  1 N 1.17
C (0.1369, 0.8631, 0.5563)  1 N 1.17
C (0.1408, 0.2263, 0.5889)  1 N 1.17
C (0.7737, 0.8592, 0.5889)  1 N 1.17
C (0.1408, 0.2263, 0.9111)  1 N 1.17
C (0.7737, 0.8592, 0.9111)  1 N 1.17
C (0.1369, 0.8631, 0.9437)  1 N 1.17
Co (0.0000, 0.0000, 0.0000)  6 C 1.85
Co (0.0000, 0.0000, 0.5000)  6 C 1.85
Er (0.6744, 0.3256, 0.2500)  2 O 2.28, 6 N 2.39-2.45
Er (0.3256, 0.6744, 0.7500)  2 O 2.28, 6 N 2.39-2.45
H (0.3089, 0.6911, 0.0336)  1 O 0.98
H (0.4171, 0.5829, 0.0978)  1 O 0.98
H (0.1319, 0.5379, 0.1897)  1 O 0.99
H (0.4621, 0.8681, 0.1897)  1 O 0.99
H (0.1319, 0.5379, 0.3103)  1 O 0.99
H (0.4621, 0.8681, 0.3103)  1 O 0.99
H (0.4171, 0.5829, 0.4022)  1 O 0.98
H (0.3089, 0.6911, 0.4664)  1 O 0.98
H (0.6911, 0.3089, 0.5336)  1 O 0.98
H (0.5829, 0.4171, 0.5978)  1 O 0.98
H (0.5379, 0.1319, 0.6897)  1 O 0.99
H (0.8681, 0.4621, 0.6897)  1 O 0.99
H (0.5379, 0.1319, 0.8103)  1 O 0.99
H (0.8681, 0.4621, 0.8103)  1 O 0.99
H (0.5829, 0.4171, 0.9022)  1 O 0.98
H (0.6911, 0.3089, 0.9664)  1 O 0.98
N (0.7762, 0.2238, 0.0919)  1 C 1.17
N (0.3738, 0.2319, 0.1425)  1 C 1.17
N (0.7681, 0.6262, 0.1425)  1 C 1.17
N (0.3738, 0.2319, 0.3575)  1 C 1.17
N (0.7681, 0.6262, 0.3575)  1 C 1.17
N (0.7762, 0.2238, 0.4081)  1 C 1.17
N (0.2238, 0.7762, 0.5919)  1 C 1.17
N (0.2319, 0.3738, 0.6425)  1 C 1.17
N (0.6262, 0.7681, 0.6425)  1 C 1.17
N (0.2319, 0.3738, 0.8575)  1 C 1.17
N (0.6262, 0.7681, 0.8575)  1 C 1.17
N (0.2238, 0.7762, 0.9081)  1 C 1.17
O (0.3379, 0.6621, 0.1027)  2 H 0.98
O (0.0393, 0.4770, 0.2500)  2 H 0.99
O (0.5230, 0.9607, 0.2500)  2 H 0.99
O (0.3379, 0.6621, 0.3973)  2 H 0.98
O (0.6621, 0.3379, 0.6027)  2 H 0.98
O (0.4770, 0.0393, 0.7500)  2 H 0.99
O (0.9607, 0.5230, 0.7500)  2 H 0.99
O (0.6621, 0.3379, 0.8973)  2 H 0.98